Entry 1:
Here is a geometry-optimized Li2ZrTe3 structure from the Open Quantum Materials Database. Energies are from PBE.

## Properties
Mass density in g/cm3: 5.028
Calculated volume in Å³/cell: 644.52
Polymorph energy (0 for the lowest one) in eV/atom: 0.030

a b c (Å): 13.8957 4.1015 11.3088
angles (deg): 90.00 90.00 90.00
Atoms (fractional coordinates):
Li (0.9912, 0.2500, 0.9149)
Li (0.5088, 0.7500, 0.4149)
Li (0.7428, 0.2500, 0.5417)
Li (0.2428, 0.2500, 0.9583)
Li (0.2572, 0.7500, 0.4583)
Li (0.7572, 0.7500, 0.0417)
Li (0.4912, 0.2500, 0.5851)
Li (0.0088, 0.7500, 0.0851)
Zr (0.0060, 0.2500, 0.3322)
Zr (0.5060, 0.2500, 0.1678)
Zr (0.9940, 0.7500, 0.6678)
Zr (0.4940, 0.7500, 0.8322)
Te (0.3806, 0.7500, 0.0603)
Te (0.6135, 0.7500, 0.6242)
Te (0.1194, 0.2500, 0.5603)
Te (0.8806, 0.7500, 0.4397)
Te (0.3602, 0.2500, 0.7551)
Te (0.3865, 0.2500, 0.3758)
Te (0.1398, 0.7500, 0.2551)
Te (0.1135, 0.7500, 0.8758)
Te (0.6194, 0.2500, 0.9397)
Te (0.8865, 0.2500, 0.1242)
Te (0.8602, 0.2500, 0.7449)
Te (0.6398, 0.7500, 0.2449)

---

Entry 2:
Here is a geometry-optimized LiTh2 structure from the Open Quantum Materials Database. Energies are from PBE.

## Properties
Mass density in g/cm3: 4.152
Calculated volume in Å³/cell: 376.79
Raw total energy in eV/cell: -17.74

a b c (Å): 8.1072 8.1072 8.1072
angles (deg): 60.00 60.00 60.00
Last column: magnetic moment on the atom in μB.
Atoms (fractional coordinates):
Th (0.8750, 0.3750, 0.3750)  0.36
Th (0.3750, 0.3750, 0.8750)  0.32
Th (0.3750, 0.8750, 0.3750)  0.31
Th (0.3750, 0.3750, 0.3750)  0.33
Li (0.5000, 0.5000, 0.5000)  0.01
Li (0.2500, 0.2500, 0.2500)  0.01

---

Entry 3:
Here is a geometry-optimized Li2Th structure from the Open Quantum Materials Database. Energies are from PBE.

## Properties
Mass density in g/cm3: 1.091
Calculated volume in Å³/cell: 748.57
Raw total energy in eV/cell: -8.31

a b c (Å): 10.1917 10.1917 10.1917
angles (deg): 60.00 60.00 60.00
Last column: magnetic moment on the atom in μB.
Atoms (fractional coordinates):
Th (0.2500, 0.2500, 0.2500)  1.81
Th (0.5000, 0.5000, 0.5000)  1.81
Li (0.3750, 0.8750, 0.3750)  0.20
Li (0.8750, 0.3750, 0.3750)  0.21
Li (0.3750, 0.3750, 0.8750)  0.20
Li (0.3750, 0.3750, 0.3750)  0.21

---

Entry 4:
Here is a geometry-optimized LiThTl structure from the Open Quantum Materials Database. Energies are from PBE.

## Properties
Mass density in g/cm3: 9.577
Calculated volume in Å³/cell: 76.87
Polymorph energy (0 for the lowest one) in eV/atom: 0.000

a b c (Å): 4.7727 4.7727 4.7727
angles (deg): 60.00 60.00 60.00
Atoms (fractional coordinates):
Th (0.2500, 0.2500, 0.2500)
Tl (0.7500, 0.7500, 0.7500)
Li (0.0000, 0.0000, 0.0000)

---

Entry 5:
Here is a geometry-optimized LiThTl structure from the Open Quantum Materials Database. Energies are from PBE.

## Properties
Mass density in g/cm3: 7.766
Calculated volume in Å³/cell: 94.81
Polymorph energy (0 for the lowest one) in eV/atom: 0.431

a b c (Å): 5.1182 5.1182 5.1182
angles (deg): 60.00 60.00 60.00
Atoms (fractional coordinates):
Th (0.0000, 0.0000, 0.0000)
Tl (0.7500, 0.7500, 0.7500)
Li (0.2500, 0.2500, 0.2500)

---

Entry 6:
Here is a geometry-optimized LiTmTh structure from the Open Quantum Materials Database. Energies are from PBE.

## Properties
Mass density in g/cm3: 7.870
Calculated volume in Å³/cell: 86.07
Polymorph energy (0 for the lowest one) in eV/atom: 0.000

a b c (Å): 4.9560 4.9560 4.9560
angles (deg): 60.00 60.00 60.00
Atoms (fractional coordinates):
Th (0.2500, 0.2500, 0.2500)
Li (0.0000, 0.0000, 0.0000)
Tm (0.7500, 0.7500, 0.7500)

---

Entry 7:
Here is a geometry-optimized LiThU structure from the Open Quantum Materials Database. Energies are from PBE.

## Properties
Mass density in g/cm3: 10.610
Calculated volume in Å³/cell: 74.65
Polymorph energy (0 for the lowest one) in eV/atom: 0.000

a b c (Å): 4.7263 4.7263 4.7263
angles (deg): 60.00 60.00 60.00
Last column: magnetic moment on the atom in μB.
Atoms (fractional coordinates):
Li (0.0000, 0.0000, 0.0000)  -0.01
U (0.7500, 0.7500, 0.7500)  2.00
Th (0.2500, 0.2500, 0.2500)  0.15

---

Entry 8:
Here is a geometry-optimized LiThW structure from the Open Quantum Materials Database. Energies are from PBE.

## Properties
Mass density in g/cm3: 11.255
Calculated volume in Å³/cell: 62.38
Polymorph energy (0 for the lowest one) in eV/atom: 0.000

a b c (Å): 4.4516 4.4516 4.4516
angles (deg): 60.00 60.00 60.00
Atoms (fractional coordinates):
Th (0.2500, 0.2500, 0.2500)
W (0.7500, 0.7500, 0.7500)
Li (0.0000, 0.0000, 0.0000)

---

Entry 9:
Here is a geometry-optimized LiThW structure from the Open Quantum Materials Database. Energies are from PBE.

## Properties
Mass density in g/cm3: 9.922
Calculated volume in Å³/cell: 70.76
Polymorph energy (0 for the lowest one) in eV/atom: 0.426

a b c (Å): 4.6427 4.6427 4.6427
angles (deg): 60.00 60.00 60.00
Atoms (fractional coordinates):
W (0.7500, 0.7500, 0.7500)
Th (0.0000, 0.0000, 0.0000)
Li (0.2500, 0.2500, 0.2500)

---

Entry 10:
Here is a geometry-optimized LiYTh structure from the Open Quantum Materials Database. Energies are from PBE.

## Properties
Mass density in g/cm3: 6.178
Calculated volume in Å³/cell: 88.13
Polymorph energy (0 for the lowest one) in eV/atom: 0.000

a b c (Å): 4.9951 4.9951 4.9951
angles (deg): 60.00 60.00 60.00
Atoms (fractional coordinates):
Th (0.2500, 0.2500, 0.2500)
Li (0.0000, 0.0000, 0.0000)
Y (0.7500, 0.7500, 0.7500)

---

Entry 11:
Here is a geometry-optimized LiThZn structure from the Open Quantum Materials Database. Energies are from PBE.

## Properties
Mass density in g/cm3: 6.789
Calculated volume in Å³/cell: 74.45
Raw total energy in eV/cell: -10.02

a b c (Å): 4.7219 4.7219 4.7219
angles (deg): 60.00 60.00 60.00
Atoms (fractional coordinates):
Th (0.7500, 0.7500, 0.7500)
Li (0.2500, 0.2500, 0.2500)
Zn (0.0000, 0.0000, 0.0000)

---

Entry 12:
Here is a geometry-optimized LiTmTl2 structure from the Open Quantum Materials Database. Energies are from PBE.

## Properties
Mass density in g/cm3: 9.995
Calculated volume in Å³/cell: 97.13
Raw total energy in eV/cell: -12.29

a b c (Å): 5.0524 5.0524 3.8051
angles (deg): 90.00 90.00 90.00
Atoms (fractional coordinates):
Tl (0.5000, 0.0000, 0.0000)
Tl (0.0000, 0.5000, 0.0000)
Tm (0.5000, 0.5000, 0.5000)
Li (0.0000, 0.0000, 0.5000)